# 1
{"formula": "ZrMn9Re2", "functional": "PBE-GGA", "state": "relaxed", "lattice": [[-1.6025, 1.8613, -4.0302], [-3.9190, -1.7123, -1.9960], [-6.0946, 5.0970, 2.0138]], "species": ["Zr", "Mn", "Mn", "Mn", "Mn", "Mn", "Mn", "Mn", "Mn", "Mn", "Re", "Re"], "fractional_positions": [[0.0000, 0.0000, 0.0000], [0.6604, 0.6604, 0.0189], [0.3396, 0.3396, 0.9811], [0.5000, 0.5000, 0.5000], [0.4073, 0.4073, 0.2582], [0.9272, 0.4073, 0.2582], [0.4073, 0.9272, 0.2582], [0.5927, 0.5927, 0.7418], [0.5927, 0.0728, 0.7418], [0.0728, 0.5927, 0.7418], [0.8593, 0.8593, 0.4221], [0.1407, 0.1407, 0.5779]], "mass_density_g_cm3": 10.67, "e_form_mev_per_atom": -48, "sg": "No. 166"}

***

# 2
{"formula": "BeNi3Ag", "functional": "PBE-GGA", "state": "relaxed", "lattice": [[-3.8441, -2.2872, 1.0002], [1.5229, -3.6038, -2.3879], [1.9780, -1.6703, 3.7824]], "species": ["Ni", "Ni", "Ni", "Ag", "Be"], "fractional_positions": [[0.0000, 0.5000, 0.0000], [0.0000, 0.0000, 0.5000], [0.5000, 0.0000, 0.0000], [0.0000, 0.0000, 0.0000], [0.5000, 0.5000, 0.5000]], "mass_density_g_cm3": 5.05, "e_form_mev_per_atom": 1737, "relative_energy_mev_per_atom": 1399, "sg": "No. 221"}

***

# 3
{"formula": "Rb3Np2NbSe6", "functional": "PBE-GGA", "state": "relaxed", "lattice": [[7.1884, -0.0019, -0.0012], [-3.5941, 6.2254, -0.0012], [-1.1996, -2.0771, 8.0364]], "species": ["Rb", "Rb", "Rb", "Np", "Np", "Nb", "Se", "Se", "Se", "Se", "Se", "Se"], "fractional_positions": [[0.1691, 0.8309, 0.5000], [0.8309, 0.1691, 0.5000], [0.5000, 0.5000, 0.5000], [0.3336, 0.6664, 0.0000], [0.6664, 0.3336, 0.0000], [0.0000, 0.0000, 0.0000], [0.9355, 0.6178, 0.8064], [0.7475, 0.7475, 0.1945], [0.0645, 0.3822, 0.1936], [0.6178, 0.9355, 0.8064], [0.2525, 0.2525, 0.8055], [0.3822, 0.0645, 0.1936]], "mass_density_g_cm3": 5.99, "formation_energy_uncorrected_mev_per_atom": -1097, "sg": "No. 12"}

***

# 4
{"formula": "NiSe", "functional": "PBE-GGA", "state": "relaxed", "lattice": [[-3.9353, 6.3804, 1.0021], [-3.0105, -3.4111, 9.8955], [6.0577, 3.2698, 2.9701]], "species": ["Ni", "Ni", "Ni", "Ni", "Ni", "Ni", "Ni", "Ni", "Ni", "Ni", "Ni", "Ni", "Ni", "Ni", "Ni", "Ni", "Se", "Se", "Se", "Se", "Se", "Se", "Se", "Se", "Se", "Se", "Se", "Se", "Se", "Se", "Se", "Se"], "fractional_positions": [[0.0000, 0.8793, 0.0000], [0.0000, 0.1207, 0.0000], [0.2500, 0.8707, 0.2500], [0.2500, 0.6293, 0.2500], [0.0000, 0.3793, 0.5000], [0.0000, 0.6207, 0.5000], [0.2500, 0.3707, 0.7500], [0.2500, 0.1293, 0.7500], [0.5000, 0.8793, 0.5000], [0.5000, 0.1207, 0.5000], [0.7500, 0.8707, 0.7500], [0.7500, 0.6293, 0.7500], [0.5000, 0.3793, 0.0000], [0.5000, 0.6207, 0.0000], [0.7500, 0.3707, 0.2500], [0.7500, 0.1293, 0.2500], [0.2534, 0.0000, 0.0000], [0.7466, 0.0000, 0.0000], [0.9966, 0.7500, 0.2500], [0.5034, 0.7500, 0.2500], [0.2534, 0.5000, 0.5000], [0.7466, 0.5000, 0.5000], [0.9966, 0.2500, 0.7500], [0.5034, 0.2500, 0.7500], [0.7534, 0.0000, 0.5000], [0.2466, 0.0000, 0.5000], [0.4966, 0.7500, 0.7500], [0.0034, 0.7500, 0.7500], [0.7534, 0.5000, 0.0000], [0.2466, 0.5000, 0.0000], [0.4966, 0.2500, 0.2500], [0.0034, 0.2500, 0.2500]], "mass_density_g_cm3": 5.92, "formation_energy_uncorrected_mev_per_atom": -175, "sg": "No. 70"}

***

# 5
{"formula": "CdMoRh", "functional": "PBE-GGA", "state": "relaxed", "lattice": [[-2.7073, 4.6190, -3.4946], [-4.2900, 4.7348, 0.2326], [4.9515, -3.3889, 2.2079]], "species": ["Cd", "Mo", "Rh"], "fractional_positions": [[0.0040, 0.0040, 0.0000], [0.3179, 0.3179, 0.0000], [0.6780, 0.6780, 0.0000]], "mass_density_g_cm3": 10.39, "e_form_mev_per_atom": 31, "relative_energy_mev_per_atom": 127, "sg": "No. 107"}

***

# 6
{"formula": "InTcIr4", "functional": "PBE-GGA", "state": "relaxed", "lattice": [[-0.7261, -4.7478, 1.9989], [-4.1401, -0.9528, 3.0027], [-3.8605, -3.0048, -1.7696]], "species": ["In", "Tc", "Ir", "Ir", "Ir", "Ir"], "fractional_positions": [[0.0000, 0.0000, 0.0000], [0.7500, 0.7500, 0.7500], [0.8747, 0.3751, 0.3751], [0.3751, 0.3751, 0.8747], [0.3751, 0.8747, 0.3751], [0.3751, 0.3751, 0.3751]], "mass_density_g_cm3": 16.37, "e_form_mev_per_atom": 432, "sg": "No. 216"}